# Be2InCo (PBEsol, optimized geometry)
# DOS(E_F) = 7.941 states/eV per cell
# energy of formation = 1.01 eV per formula unit
data_Be2InCo
_space_group_name_H-M_alt 'F -4 3 m'
_space_group_IT_number 216
_space_group_name_Hall 'F -4 2 3'
_cell_length_a 5.740
_cell_length_b 5.740
_cell_length_c 5.740
_cell_angle_alpha 90.00
_cell_angle_beta 90.00
_cell_angle_gamma 90.00
loop_
_atom_site_label
_atom_site_fract_x
_atom_site_fract_y
_atom_site_fract_z
_atom_site_occupancy
Be1 0.000 0.000 0.000 1
Be2 0.250 0.250 0.250 1
In1 0.250 0.250 0.750 1
Co1 0.000 0.000 0.500 1

=====

# Be2InCo (PBEsol, optimized geometry)
# DOS(E_F) = 3.623 states/eV per cell
# energy of formation = 0.53 eV per formula unit
data_Be2InCo
_space_group_name_H-M_alt 'I m m 2'
_space_group_IT_number 44
_space_group_name_Hall 'I 2 -2'
_cell_length_a 3.301
_cell_length_b 3.690
_cell_length_c 7.637
_cell_angle_alpha 90.00
_cell_angle_beta 90.00
_cell_angle_gamma 90.00
loop_
_atom_site_label
_atom_site_fract_x
_atom_site_fract_y
_atom_site_fract_z
_atom_site_occupancy
Be1 0.000 0.000 0.000 1
Be2 0.000 0.500 0.235 1
In1 0.000 0.000 0.475 1
Co1 0.000 0.500 0.715 1

=====

# BeInCo (PBEsol, optimized geometry)
# energy above the most stable polymorph in this dataset = 0.0 meV per atom
# DOS(E_F) = 2.082 states/eV per cell
# energy of formation = 0.09 eV per formula unit
data_BeInCo
_space_group_name_H-M_alt 'I 4 m m'
_space_group_IT_number 107
_space_group_name_Hall 'I 4 -2'
_cell_length_a 2.923
_cell_length_b 2.923
_cell_length_c 8.899
_cell_angle_alpha 90.00
_cell_angle_beta 90.00
_cell_angle_gamma 90.00
loop_
_atom_site_label
_atom_site_fract_x
_atom_site_fract_y
_atom_site_fract_z
_atom_site_occupancy
Be1 0.000 0.000 0.000 1
In1 0.000 0.000 0.711 1
Co1 0.000 0.000 0.409 1

=====

# BeInCo (PBEsol, optimized geometry)
# energy above the most stable polymorph in this dataset = 408.8 meV per atom
# DOS(E_F) = 2.626 states/eV per cell
# energy of formation = 1.31 eV per formula unit
data_BeInCo
_space_group_name_H-M_alt 'P 3 m 1'
_space_group_IT_number 156
_space_group_name_Hall 'P 3 -2"'
_cell_length_a 2.8436
_cell_length_b 2.8436
_cell_length_c 5.9496
_cell_angle_alpha 90.00
_cell_angle_beta 90.00
_cell_angle_gamma 120.00
loop_
_atom_site_label
_atom_site_fract_x
_atom_site_fract_y
_atom_site_fract_z
_atom_site_occupancy
Be1 0.0000 0.0000 0.0000 1
In1 0.6667 0.3333 0.3929 1
Co1 0.3333 0.6667 0.7502 1

=====

# Ta2BeInCo (PBEsol, optimized geometry)
# DOS(E_F) = 3.389 states/eV per cell
# energy of formation = 2.74 eV per formula unit
data_Ta2BeInCo
_space_group_name_H-M_alt 'P 4/m m m'
_space_group_IT_number 123
_space_group_name_Hall '-P 4 2'
_cell_length_a 4.556
_cell_length_b 4.556
_cell_length_c 4.067
_cell_angle_alpha 90.00
_cell_angle_beta 90.00
_cell_angle_gamma 90.00
loop_
_atom_site_label
_atom_site_fract_x
_atom_site_fract_y
_atom_site_fract_z
_atom_site_occupancy
Ta1 0.000 0.500 0.000 1
Be1 0.000 0.000 0.500 1
In1 0.500 0.500 0.500 1
Co1 0.000 0.000 0.000 1

=====

# BeCo2Ir (PBEsol, optimized geometry)
# DOS(E_F) = 7.762 states/eV per cell
# energy of formation = -0.38 eV per formula unit
data_BeCo2Ir
_space_group_name_H-M_alt 'I m m 2'
_space_group_IT_number 44
_space_group_name_Hall 'I 2 -2'
_cell_length_a 2.699
_cell_length_b 4.059
_cell_length_c 7.810
_cell_angle_alpha 90.00
_cell_angle_beta 90.00
_cell_angle_gamma 90.00
loop_
_atom_site_label
_atom_site_fract_x
_atom_site_fract_y
_atom_site_fract_z
_atom_site_occupancy
Be1 0.000 0.000 0.000 1
Co1 0.000 0.000 0.486 1
Co2 0.000 0.500 0.720 1
Ir1 0.000 0.500 0.262 1

=====

# BeCo2Ir (PBEsol, optimized geometry)
# DOS(E_F) = 3.405 states/eV per cell
# energy of formation = 0.20 eV per formula unit
data_BeCo2Ir
_space_group_name_H-M_alt 'P 4/m m m'
_space_group_IT_number 123
_space_group_name_Hall '-P 4 2'
_cell_length_a 3.999
_cell_length_b 3.999
_cell_length_c 2.785
_cell_angle_alpha 90.00
_cell_angle_beta 90.00
_cell_angle_gamma 90.00
loop_
_atom_site_label
_atom_site_fract_x
_atom_site_fract_y
_atom_site_fract_z
_atom_site_occupancy
Be1 0.000 0.000 0.000 1
Co1 0.000 0.500 0.500 1
Ir1 0.500 0.500 0.000 1

=====

# Be2CoIr (PBEsol, optimized geometry)
# energy above the most stable polymorph in this dataset = 211.4 meV per atom
# DOS(E_F) = 4.834 states/eV per cell
# energy of formation = -0.98 eV per formula unit
data_Be2CoIr
_space_group_name_H-M_alt 'I m m m'
_space_group_IT_number 71
_space_group_name_Hall '-I 2 2'
_cell_length_a 2.829
_cell_length_b 4.111
_cell_length_c 6.988
_cell_angle_alpha 90.00
_cell_angle_beta 90.00
_cell_angle_gamma 90.00
loop_
_atom_site_label
_atom_site_fract_x
_atom_site_fract_y
_atom_site_fract_z
_atom_site_occupancy
Be1 0.000 0.000 0.239 1
Co1 0.000 0.500 0.500 1
Ir1 0.000 0.500 0.000 1

=====

# BeCoIr2 (PBEsol, optimized geometry)
# DOS(E_F) = 4.679 states/eV per cell
# energy of formation = -0.60 eV per formula unit
data_BeCoIr2
_space_group_name_H-M_alt 'P 4/m m m'
_space_group_IT_number 123
_space_group_name_Hall '-P 4 2'
_cell_length_a 4.060
_cell_length_b 4.060
_cell_length_c 2.809
_cell_angle_alpha 90.00
_cell_angle_beta 90.00
_cell_angle_gamma 90.00
loop_
_atom_site_label
_atom_site_fract_x
_atom_site_fract_y
_atom_site_fract_z
_atom_site_occupancy
Be1 0.000 0.000 0.000 1
Co1 0.500 0.500 0.000 1
Ir1 0.000 0.500 0.500 1

=====

# Be2CoIr (PBEsol, optimized geometry)
# energy above the most stable polymorph in this dataset = 0.0 meV per atom
# DOS(E_F) = 12.509 states/eV per cell
# energy of formation = -1.83 eV per formula unit
data_Be2CoIr
_space_group_name_H-M_alt 'F m -3 m'
_space_group_IT_number 225
_space_group_name_Hall '-F 4 2 3'
_cell_length_a 5.366
_cell_length_b 5.366
_cell_length_c 5.366
_cell_angle_alpha 90.00
_cell_angle_beta 90.00
_cell_angle_gamma 90.00
loop_
_atom_site_label
_atom_site_fract_x
_atom_site_fract_y
_atom_site_fract_z
_atom_site_occupancy
Be1 0.250 0.250 0.250 1
Co1 0.000 0.000 0.000 1
Ir1 0.000 0.000 0.500 1

=====

# BeCoIr2 (PBEsol, optimized geometry)
# DOS(E_F) = 20.774 states/eV per cell
# energy of formation = 1.89 eV per formula unit
data_BeCoIr2
_space_group_name_H-M_alt 'I -4 2 d'
_space_group_IT_number 122
_space_group_name_Hall 'I -4 2bw'
_cell_length_a 3.641
_cell_length_b 3.641
_cell_length_c 16.027
_cell_angle_alpha 90.00
_cell_angle_beta 90.00
_cell_angle_gamma 90.00
loop_
_atom_site_label
_atom_site_fract_x
_atom_site_fract_y
_atom_site_fract_z
_atom_site_occupancy
Be1 0.000 0.000 0.000 1
Co1 0.000 0.000 0.500 1
Ir1 0.243 0.250 0.125 1

=====

# Be2CoIr (PBEsol, optimized geometry)
# energy above the most stable polymorph in this dataset = 234.3 meV per atom
# DOS(E_F) = 2.498 states/eV per cell
# energy of formation = -0.89 eV per formula unit
data_Be2CoIr
_space_group_name_H-M_alt 'P m m m'
_space_group_IT_number 47
_space_group_name_Hall '-P 2 2'
_cell_length_a 2.815
_cell_length_b 3.545
_cell_length_c 4.110
_cell_angle_alpha 90.00
_cell_angle_beta 90.00
_cell_angle_gamma 90.00
loop_
_atom_site_label
_atom_site_fract_x
_atom_site_fract_y
_atom_site_fract_z
_atom_site_occupancy
Be1 0.000 0.000 0.000 1
Be2 0.500 0.000 0.500 1
Co1 0.000 0.500 0.500 1
Ir1 0.500 0.500 0.000 1

=====

# BeCoIr2 (PBEsol, optimized geometry)
# DOS(E_F) = 4.425 states/eV per cell
# energy of formation = -0.80 eV per formula unit
data_BeCoIr2
_space_group_name_H-M_alt 'P 4/m m m'
_space_group_IT_number 123
_space_group_name_Hall '-P 4 2'
_cell_length_a 2.742
_cell_length_b 2.742
_cell_length_c 6.132
_cell_angle_alpha 90.00
_cell_angle_beta 90.00
_cell_angle_gamma 90.00
loop_
_atom_site_label
_atom_site_fract_x
_atom_site_fract_y
_atom_site_fract_z
_atom_site_occupancy
Be1 0.000 0.000 0.000 1
Co1 0.000 0.000 0.500 1
Ir1 0.500 0.500 0.226 1

=====

# BeCoIr2 (PBEsol, optimized geometry)
# DOS(E_F) = 10.209 states/eV per cell
# energy of formation = -0.46 eV per formula unit
data_BeCoIr2
_space_group_name_H-M_alt 'R -3 m'
_space_group_IT_number 166
_space_group_name_Hall '-R 3 2"'
_cell_length_a 2.6610
_cell_length_b 2.6610
_cell_length_c 23.5597
_cell_angle_alpha 90.00
_cell_angle_beta 90.00
_cell_angle_gamma 120.00
loop_
_atom_site_label
_atom_site_fract_x
_atom_site_fract_y
_atom_site_fract_z
_atom_site_occupancy
Be1 0.0000 0.0000 0.0000 1
Co1 0.0000 0.0000 0.5000 1
Ir1 0.0000 0.0000 0.2544 1

=====

# BeCoIr2 (PBEsol, optimized geometry)
# DOS(E_F) = 12.027 states/eV per cell
# energy of formation = 0.69 eV per formula unit
data_BeCoIr2
_space_group_name_H-M_alt 'C m m 2'
_space_group_IT_number 35
_space_group_name_Hall 'C 2 -2'
_cell_length_a 2.674
_cell_length_b 4.494
_cell_length_c 8.182
_cell_angle_alpha 90.00
_cell_angle_beta 90.00
_cell_angle_gamma 90.00
loop_
_atom_site_label
_atom_site_fract_x
_atom_site_fract_y
_atom_site_fract_z
_atom_site_occupancy
Be1 0.000 0.000 0.000 1
Co1 0.000 0.500 0.218 1
Ir1 0.000 0.000 0.477 1
Ir2 0.000 0.500 0.773 1